## V2PbF2 (PBE+U)

Data for a relaxed V2PbF2 crystal.

**Symmetry**: P4/mbm, No. 127
**Size of the total moment**: 6.4 μB/f.u.
**Excess energy over the best structure of this formula in the dataset**: 225 meV/atom

abc: 7.7263 7.7263 3.0210
angles: 90.00 90.00 90.00
With the nearest neighbours (Å) after each atom.
Positions (direct):
F 0.3956 0.8956 0.0000  1 F 2.28, 4 V 2.37
F 0.1044 0.3956 0.0000  1 F 2.28, 4 V 2.37
F 0.6044 0.1044 0.0000  1 F 2.28, 4 V 2.37
F 0.8956 0.6044 0.0000  1 F 2.28, 4 V 2.37
V 0.1309 0.6309 0.5000  4 F 2.37
V 0.3691 0.1309 0.5000  4 F 2.37
V 0.6309 0.8691 0.5000  4 F 2.37
V 0.8691 0.3691 0.5000  4 F 2.37
Pb 0.0000 0.0000 0.0000  2 Pb 3.02, 4 F 3.16, 8 V 3.38
Pb 0.5000 0.5000 0.0000  2 Pb 3.02, 4 F 3.16, 8 V 3.38